DFT (PBE) results for crystalline SrB2I at its relaxed geometry.

Cell lengths 4.926, 4.926, 4.926 Å; angles 60.00, 60.00, 60.00 degrees
Element x y z (fractional)
B 0.250 0.250 0.250
B 0.750 0.750 0.750
I 0.500 0.500 0.500
Sr 0.000 0.000 0.000

- DOS(E_F): 2.2 states/eV/f.u.
- SG: Fm-3m (225)
- Distance to the lowest polymorph of the same formula: 0.67 eV per formula unit
- E_form (uncorrected): 1.454 eV/atom
- E_tot: -2.692 eV/atom

DFT (PBE) results for crystalline SrB4I2 at its relaxed geometry.

Cell lengths 5.721, 5.721, 8.163 Å; angles 69.49, 69.49, 90.00 degrees
Element x y z (fractional)
B 0.800 0.800 0.400
B 0.000 0.500 0.000
B 0.200 0.200 0.600
B 0.500 0.000 0.000
I 0.349 0.349 0.302
I 0.651 0.651 0.698
Sr 0.000 0.000 0.000

- DOS(E_F): 3.7 states/eV/f.u.
- SG: I4/mmm (139)
- E_form (uncorrected): 2.091 eV/atom
- E_tot: -2.407 eV/atom

DFT (PBE) results for crystalline Sr3BI at its relaxed geometry.

Cell lengths 5.740, 5.740, 5.740 Å; angles 90.00, 90.00, 90.00 degrees
Element x y z (fractional)
Sr 0.000 0.500 0.000
Sr 0.500 0.000 0.000
Sr 0.000 0.000 0.500
B 0.000 0.000 0.000
I 0.500 0.500 0.500

- DOS(E_F): 0.1 states/eV/f.u.
- SG: Pm-3m (221)
- Distance to the lowest polymorph of the same formula: 0.00 eV per formula unit
- E_form (uncorrected): -0.128 eV/atom
- E_tot: -2.783 eV/atom

DFT (PBE) results for crystalline Sr2BI at its relaxed geometry.

Cell lengths 5.535, 5.535, 5.535 Å; angles 60.00, 60.00, 60.00 degrees
Element x y z (fractional)
B 0.000 0.000 0.000
Sr 0.750 0.750 0.750
Sr 0.250 0.250 0.250
I 0.500 0.500 0.500

- DOS(E_F): 3.2 states/eV/f.u.
- SG: Fm-3m (225)
- Distance to the lowest polymorph of the same formula: 0.80 eV per formula unit
- E_form (uncorrected): 0.161 eV/atom
- E_tot: -2.736 eV/atom

DFT (PBE) results for crystalline SrB3I at its relaxed geometry.

Cell lengths 4.613, 4.613, 4.613 Å; angles 90.00, 90.00, 90.00 degrees
Element x y z (fractional)
B 0.500 0.000 0.000
B 0.000 0.500 0.000
B 0.000 0.000 0.500
Sr 0.500 0.500 0.500
I 0.000 0.000 0.000

- DOS(E_F): 2.6 states/eV/f.u.
- SG: Pm-3m (221)
- Distance to the lowest polymorph of the same formula: 0.00 eV per formula unit
- E_form (uncorrected): 1.959 eV/atom
- E_tot: -2.694 eV/atom

DFT (PBE) results for crystalline SrB3I at its relaxed geometry.

Cell lengths 5.378, 5.378, 5.378 Å; angles 90.00, 90.00, 90.00 degrees
Element x y z (fractional)
I 0.500 0.500 0.500
Sr 0.000 0.000 0.000
B 0.000 0.000 0.500
B 0.500 0.000 0.000
B 0.000 0.500 0.000

- DOS(E_F): 5.5 states/eV/f.u.
- SG: Pm-3m (221)
- Distance to the lowest polymorph of the same formula: 3.28 eV per formula unit
- E_form (uncorrected): 2.616 eV/atom
- E_tot: -2.037 eV/atom

DFT (PBE) results for crystalline Sr2BI at its relaxed geometry.

Cell lengths 8.059, 8.059, 7.262 Å; angles 56.30, 56.30, 90.00 degrees
Element x y z (fractional)
Sr 0.558 0.125 0.250
Sr 0.192 0.625 0.250
Sr 0.375 0.442 0.750
Sr 0.875 0.808 0.750
B 0.500 0.500 0.000
B 0.250 0.750 0.500
I 0.750 0.250 0.500
I 0.000 0.000 0.000

- DOS(E_F): 0.3 states/eV/f.u.
- SG: I-42d (122)
- Distance to the lowest polymorph of the same formula: 0.00 eV per formula unit
- E_form (uncorrected): -0.038 eV/atom
- E_tot: -2.936 eV/atom

DFT (PBE) results for crystalline SrBTe2I at its relaxed geometry.

Cell lengths 6.374, 6.374, 6.305 Å; angles 90.00, 90.00, 90.00 degrees
Element x y z (fractional)
Te 0.500 0.000 0.000
Te 0.000 0.500 0.000
I 0.000 0.000 0.500
Sr 0.000 0.000 0.000
B 0.500 0.500 0.500

- DOS(E_F): 4.3 states/eV/f.u.
- SG: P4/mmm (123)
- Distance to the lowest polymorph of the same formula: 5.01 eV per formula unit
- E_form (uncorrected): 0.871 eV/atom
- E_tot: -2.368 eV/atom

DFT (PBE) results for crystalline SrBTeI2 at its relaxed geometry.

Cell lengths 6.343, 6.343, 6.526 Å; angles 90.00, 90.00, 90.00 degrees
Element x y z (fractional)
Sr 0.000 0.000 0.000
B 0.500 0.500 0.500
Te 0.000 0.000 0.500
I 0.000 0.500 0.000
I 0.500 0.000 0.000

- DOS(E_F): 4.6 states/eV/f.u.
- SG: P4/mmm (123)
- Distance to the lowest polymorph of the same formula: 3.42 eV per formula unit
- E_form (uncorrected): 0.550 eV/atom
- E_tot: -2.370 eV/atom

DFT (PBE) results for crystalline SrBTe2I at its relaxed geometry.

Cell lengths 4.946, 4.946, 5.887 Å; angles 90.00, 90.00, 90.00 degrees
Element x y z (fractional)
Sr 0.500 0.500 0.500
Te 0.000 0.500 0.000
Te 0.500 0.000 0.000
B 0.000 0.000 0.000
I 0.000 0.000 0.500

- DOS(E_F): 1.2 states/eV/f.u.
- SG: P4/mmm (123)
- Distance to the lowest polymorph of the same formula: 0.00 eV per formula unit
- E_form (uncorrected): -0.132 eV/atom
- E_tot: -3.371 eV/atom

DFT (PBE) results for crystalline SrBTeI2 at its relaxed geometry.

Cell lengths 5.219, 5.219, 5.300 Å; angles 90.00, 90.00, 90.00 degrees
Element x y z (fractional)
I 0.000 0.500 0.000
I 0.500 0.000 0.000
Sr 0.500 0.500 0.500
Te 0.000 0.000 0.500
B 0.000 0.000 0.000

- DOS(E_F): 2.2 states/eV/f.u.
- SG: P4/mmm (123)
- Distance to the lowest polymorph of the same formula: 0.00 eV per formula unit
- E_form (uncorrected): -0.134 eV/atom
- E_tot: -3.055 eV/atom

DFT (PBE) results for crystalline Ta2BI at its relaxed geometry.

Cell lengths 5.368, 5.368, 7.148 Å; angles 67.95, 67.95, 90.00 degrees
Element x y z (fractional)
Ta 0.504 0.125 0.250
Ta 0.246 0.625 0.250
Ta 0.375 0.496 0.750
Ta 0.875 0.754 0.750
B 0.500 0.500 0.000
B 0.250 0.750 0.500
I 0.000 0.000 0.000
I 0.750 0.250 0.500

- DOS(E_F): 3.1 states/eV/f.u.
- SG: I-42d (122)
- Distance to the lowest polymorph of the same formula: 0.00 eV per formula unit
- E_form (uncorrected): 0.805 eV/atom
- E_tot: -7.178 eV/atom